Computed, not measured: a geometry-optimized CdNiC2 structure at the PBE level of DFT.

Values from the calculation:
**Size of the total moment**: 0.0 Bohr magnetons per cell
**Uncorrected energy**: -4.870 eV/atom

The structure in CIF format:
```
data_CdNiC2
_chemical_formula_sum 'Cd4 Ni4 C8'
_symmetry_space_group_name_H-M 'I -4 2 d'
_symmetry_Int_Tables_number 122
_symmetry_space_group_name_Hall 'I -4 2bw'
_cell_length_a 4.911
_cell_length_b 4.911
_cell_length_c 8.853
_cell_angle_alpha 90.00
_cell_angle_beta 90.00
_cell_angle_gamma 90.00
loop_
_atom_site_label
_atom_site_type_symbol
_atom_site_fract_x
_atom_site_fract_y
_atom_site_fract_z
_atom_site_occupancy
Cd1 Cd 0.000 0.000 0.000 1
Ni1 Ni 0.000 0.000 0.500 1
C1 C 0.165 0.250 0.625 1
```